DFT (GGA+U) results for a geometry-optimized La2CoNiO6 structure.

Values from the calculation:
Crystal system: monoclinic
Electronic total energy in eV/f.u.: -69.57

Cell: 5.5142 5.4853 9.5096 Å, 90.00 125.25 90.00°
Fractional coordinates of all 20 atoms:
La1 0.2443 0.0291 0.2500
La2 0.2443 0.4709 0.7500
La3 0.7557 0.5291 0.2500
La4 0.7557 0.9709 0.7500
Co1 0.0000 0.0000 0.5000
Co2 0.0000 0.5000 0.0000
Ni1 0.5000 0.0000 0.0000
Ni2 0.5000 0.5000 0.5000
O1 0.1732 0.2264 0.9630
O2 0.1732 0.2736 0.4630
O3 0.2319 0.7131 0.9619
O4 0.2319 0.7869 0.4619
O5 0.3107 0.0110 0.7411
O6 0.3107 0.4890 0.2411
O7 0.6893 0.5110 0.7589
O8 0.6893 0.9890 0.2589
O9 0.7681 0.2131 0.5381
O10 0.7681 0.2869 0.0381
O11 0.8268 0.7264 0.5370
O12 0.8268 0.7736 0.0370